[1]
Entry from the Alexandria database: KNi2Cl after structural relaxation (PBE).

Cell lengths 6.8140, 6.8140, 2.7548 Å; angles 90.00, 90.00, 134.60 degrees
Last column: magnetic moment on the atom in μB.
Sites, in units of the cell vectors:
Cl: 0.5000 0.0000 0.5000  0.01
Ni: 0.5000 0.5000 0.0000  0.94
K: 0.0000 0.5000 0.5000  0.00
Ni: 0.0000 0.0000 0.0000  0.94

Computed properties:
formation energy (no corrections) = 0.647 eV/atom
SG = Cmmm
distance to the lowest polymorph of the same formula = 673 meV per atom

[2]
Entry from the Alexandria database: ZrSc2BeP after structural relaxation (PBE).

Cell lengths 5.1784, 4.8740, 5.1784 Å; angles 90.00, 90.00, 90.00 degrees
Sites, in units of the cell vectors:
Be: 0.5000 0.5000 0.5000
Sc: 0.0000 0.0000 0.5000
Zr: 0.0000 0.0000 0.0000
P: 0.0000 0.5000 0.0000
Sc: 0.5000 0.0000 0.0000

Computed properties:
ΔH_f (0 K) = 0.9546 eV/atom
SG = P4/mmm

[3]
Entry from the Alexandria database: ZrAsRu2 after structural relaxation (PBE).

Cell lengths 3.4569, 4.2835, 4.2835 Å; angles 90.00, 90.00, 90.00 degrees
Sites, in units of the cell vectors:
Zr: 0.5000 0.5000 0.0000
Ru: 0.0000 0.0000 0.0000
As: 0.5000 0.0000 0.5000
Ru: 0.0000 0.5000 0.5000

Computed properties:
ΔH_f (0 K) = -0.4168 eV/atom
SG = P4/mmm

[4]
Entry from the Alexandria database: YTcN3 after structural relaxation (PBE).

Cell lengths 6.2196, 3.1392, 3.3981 Å; angles 90.00, 94.74, 75.38 degrees
Sites, in units of the cell vectors:
Tc: 0.1009 0.5772 0.4438
N: 0.6716 0.2920 0.5407
N: 0.8874 0.1840 0.4681
N: 0.2527 0.5014 0.9667
Y: 0.5486 0.8535 0.0129

Computed properties:
formation energy (no corrections) = -0.407 eV/atom
SG = Cm

[5]
Entry from the Alexandria database: Sb3Pt after structural relaxation (PBE).

Cell lengths 6.7468, 6.7468, 6.7468 Å; angles 150.71, 134.18, 55.31 degrees
Sites, in units of the cell vectors:
Sb: 0.9815 0.3346 0.6469
Sb: 0.5710 0.5000 0.0710
Sb: 0.3123 0.6654 0.6469
Pt: 0.9685 0.0000 0.9685

Computed properties:
formation energy (no corrections) = -0.095 eV/atom
SG = Imm2
distance to the lowest polymorph of the same formula = 107 meV per atom

[6]
Entry from the Alexandria database: BaBi after structural relaxation (PBE).

Cell lengths 13.5731, 13.5731, 5.0722 Å; angles 90.00, 90.00, 120.00 degrees
Sites, in units of the cell vectors:
Bi: 0.0431 0.5846 0.7500
Ba: 0.7460 0.1259 0.2500
Ba: 0.6201 0.7460 0.7500
Ba: 0.8741 0.6201 0.2500
Ba: 0.3799 0.2540 0.2500
Ba: 0.1259 0.3799 0.7500
Bi: 0.4585 0.0431 0.2500
Ba: 0.2540 0.8741 0.7500
Bi: 0.4154 0.4585 0.7500
Bi: 0.5846 0.5415 0.2500
Bi: 0.5415 0.9569 0.7500
Bi: 0.9569 0.4154 0.2500

Computed properties:
ΔH_f (0 K) = -0.3232 eV/atom
SG = P6_3/m

[7]
Entry from the Alexandria database: TaNb2Pt after structural relaxation (PBE).

Cell lengths 3.8265, 3.8265, 10.6237 Å; angles 79.62, 79.62, 90.00 degrees
Sites, in units of the cell vectors:
Pt: 0.7500 0.2500 0.5000
Nb: 0.3750 0.3800 0.7500
Ta: 0.2500 0.7500 0.5000
Nb: 0.6200 0.1250 0.2500
Nb: 0.8750 0.8700 0.7500
Pt: 0.0000 0.0000 0.0000
Ta: 0.5000 0.5000 0.0000
Nb: 0.1300 0.6250 0.2500

Computed properties:
ΔH_f (0 K) = 0.2287 eV/atom
SG = I-42d
distance to the lowest polymorph of the same formula = 546 meV per atom

[8]
Entry from the Alexandria database: Li2CuTc after structural relaxation (PBE).

Cell lengths 2.4228, 4.3157, 5.1964 Å; angles 90.00, 90.00, 90.00 degrees
Sites, in units of the cell vectors:
Cu: 0.5000 0.5000 0.7500
Li: 0.0000 0.0000 0.0029
Tc: 0.5000 0.5000 0.2500
Li: 0.0000 0.0000 0.4971

Computed properties:
ΔH_f (0 K) = 0.2818 eV/atom
SG = Pmmm
distance to the lowest polymorph of the same formula = 164 meV per atom

[9]
Entry from the Alexandria database: Li6PrMg6 after structural relaxation (PBE).

Cell lengths 5.4764, 7.7451, 7.7451 Å; angles 83.88, 69.30, 69.30 degrees
Sites, in units of the cell vectors:
Mg: 0.0000 0.3511 0.6489
Li: 0.0000 0.0000 0.5000
Mg: 0.2960 0.2040 0.2040
Mg: 0.0000 0.6489 0.3511
Mg: 0.3492 0.6508 0.6508
Li: 0.5000 0.7790 0.2210
Li: 0.5000 0.5000 0.0000
Pr: 0.0000 0.0000 0.0000
Li: 0.5000 0.2210 0.7790
Mg: 0.7040 0.7960 0.7960
Mg: 0.6508 0.3492 0.3492
Li: 0.5000 0.0000 0.5000
Li: 0.0000 0.5000 0.0000

Computed properties:
ΔH_f (0 K) = -0.0359 eV/atom
SG = Immm

[10]
Entry from the Alexandria database: Ti2TlFe after structural relaxation (PBE).

Cell lengths 4.5803, 4.5803, 4.5803 Å; angles 60.00, 60.00, 60.00 degrees
Last column: magnetic moment on the atom in μB.
Sites, in units of the cell vectors:
Ti: 0.7500 0.7500 0.7500  -0.48
Fe: 0.0000 0.0000 0.0000  2.15
Ti: 0.2500 0.2500 0.2500  -0.48
Tl: 0.5000 0.5000 0.5000  0.04

Computed properties:
ΔH_f (0 K) = 0.1126 eV/atom
SG = Fm-3m
distance to the lowest polymorph of the same formula = 176 meV per atom

[11]
Entry from the Alexandria database: NaYI2 after structural relaxation (PBE).

Cell lengths 4.0485, 4.0485, 11.3500 Å; angles 79.73, 79.73, 60.00 degrees
Sites, in units of the cell vectors:
Y: 0.5000 0.5000 0.5000
Na: 0.0000 0.0000 0.0000
I: 0.8945 0.8945 0.3164
I: 0.1055 0.1055 0.6836

Computed properties:
formation energy (no corrections) = -0.864 eV/atom
SG = R-3m
distance to the lowest polymorph of the same formula = 0 meV per atom

[12]
Entry from the Alexandria database: LaMgFeS2 after structural relaxation (PBE).

Cell lengths 4.8229, 4.7027, 4.8229 Å; angles 90.00, 90.00, 90.00 degrees
Last column: magnetic moment on the atom in μB.
Sites, in units of the cell vectors:
Fe: 0.0000 0.5000 0.0000  2.81
Mg: 0.0000 0.0000 0.0000  -0.01
La: 0.5000 0.5000 0.5000  -0.09
S: 0.5000 0.0000 0.0000  0.05
S: 0.0000 0.0000 0.5000  0.06

Computed properties:
formation energy (no corrections) = -0.378 eV/atom
SG = P4/mmm